A relaxed structure of SrCaV2O6. Source: Alexandria, functional PBE+U.

CIF file:
```
data_SrCaV2O6
_chemical_formula_sum 'Sr2 Ca2 V4 O12'
_symmetry_space_group_name_H-M 'P m c 21'
_symmetry_Int_Tables_number 26
_symmetry_space_group_name_Hall 'P 2c -2'
_cell_length_a 7.8904
_cell_length_b 5.4579
_cell_length_c 5.4257
_cell_angle_alpha 90.00
_cell_angle_beta 90.00
_cell_angle_gamma 90.00
loop_
_atom_site_label
_atom_site_type_symbol
_atom_site_fract_x
_atom_site_fract_y
_atom_site_fract_z
Sr1 Sr 0.0000 0.2469 0.0000
Ca1 Ca 0.5000 0.2497 0.0441
V1 V 0.2548 0.2486 0.5172
O1 O 0.0000 0.2955 0.5187
O2 O 0.2293 0.0367 0.2452
O3 O 0.2858 0.4630 0.7871
O4 O 0.5000 0.1833 0.5079
```

Properties
* E: -7.32 eV/atom
* DOS(E_F): 0.0032 states/eV per atom

A relaxed structure of Sr4CaV3O12. Source: Alexandria, functional PBE+U.

CIF file:
```
data_Sr4CaV3O12
_chemical_formula_sum 'Sr8 Ca2 V6 O24'
_symmetry_space_group_name_H-M 'I m -3 m'
_symmetry_Int_Tables_number 229
_symmetry_space_group_name_Hall '-I 4 2 3'
_cell_length_a 7.9951
_cell_length_b 7.9951
_cell_length_c 7.9951
_cell_angle_alpha 90.00
_cell_angle_beta 90.00
_cell_angle_gamma 90.00
loop_
_atom_site_label
_atom_site_type_symbol
_atom_site_fract_x
_atom_site_fract_y
_atom_site_fract_z
Sr1 Sr 0.2500 0.2500 0.2500
Ca1 Ca 0.0000 0.0000 0.0000
V1 V 0.0000 0.0000 0.5000
O1 O 0.0000 0.0000 0.2733
O2 O 0.0000 0.2500 0.5000
```

Properties
* E: -7.00 eV/atom
* DOS(E_F): 0.3743 states/eV per atom

A relaxed structure of SrCaV4O12. Source: Alexandria, functional PBE+U.

CIF file:
```
data_SrCaV4O12
_chemical_formula_sum 'Sr2 Ca2 V8 O24'
_symmetry_space_group_name_H-M 'C m m m'
_symmetry_Int_Tables_number 65
_symmetry_space_group_name_Hall '-C 2 2'
_cell_length_a 7.5486
_cell_length_b 7.5529
_cell_length_c 7.5480
_cell_angle_alpha 90.00
_cell_angle_beta 90.00
_cell_angle_gamma 90.00
loop_
_atom_site_label
_atom_site_type_symbol
_atom_site_fract_x
_atom_site_fract_y
_atom_site_fract_z
Sr1 Sr 0.0000 0.0000 0.0000
Ca1 Ca 0.0000 0.5000 0.5000
V1 V 0.2500 0.2500 0.2517
O1 O 0.0000 0.2494 0.2533
O2 O 0.2465 0.5000 0.2535
O3 O 0.2500 0.2500 0.0000
O4 O 0.2500 0.2500 0.5000
```

Properties
* E: -7.21 eV/atom
* DOS(E_F): 0.1655 states/eV per atom

A relaxed structure of SrCaVWO6. Source: Alexandria, functional PBE+U.

CIF file:
```
data_SrCaVWO6
_chemical_formula_sum 'Sr4 Ca4 V4 W4 O24'
_symmetry_space_group_name_H-M 'F -4 3 m'
_symmetry_Int_Tables_number 216
_symmetry_space_group_name_Hall 'F -4 2 3'
_cell_length_a 8.0269
_cell_length_b 8.0269
_cell_length_c 8.0269
_cell_angle_alpha 90.00
_cell_angle_beta 90.00
_cell_angle_gamma 90.00
loop_
_atom_site_label
_atom_site_type_symbol
_atom_site_fract_x
_atom_site_fract_y
_atom_site_fract_z
Sr1 Sr 0.0000 0.0000 0.0000
Ca1 Ca 0.0000 0.0000 0.5000
V1 V 0.2500 0.2500 0.7500
W1 W 0.2500 0.2500 0.2500
O1 O 0.0073 0.2500 0.2500
```

Properties
* E: -7.25 eV/atom

A relaxed structure of SrCaZnWO6. Source: Alexandria, functional PBE+U.

CIF file:
```
data_SrCaZnWO6
_chemical_formula_sum 'Sr4 Ca4 Zn4 W4 O24'
_symmetry_space_group_name_H-M 'F -4 3 m'
_symmetry_Int_Tables_number 216
_symmetry_space_group_name_Hall 'F -4 2 3'
_cell_length_a 8.0122
_cell_length_b 8.0122
_cell_length_c 8.0122
_cell_angle_alpha 90.00
_cell_angle_beta 90.00
_cell_angle_gamma 90.00
loop_
_atom_site_label
_atom_site_type_symbol
_atom_site_fract_x
_atom_site_fract_y
_atom_site_fract_z
Sr1 Sr 0.0000 0.0000 0.0000
Ca1 Ca 0.0000 0.0000 0.5000
Zn1 Zn 0.2500 0.2500 0.2500
W1 W 0.2500 0.2500 0.7500
O1 O 0.0079 0.2500 0.7500
```

Properties
* E: -6.52 eV/atom
* DOS(E_F): 0.0000 states/eV per atom